First-principles (GGA-PBEsol) data for a relaxed La2ScTl crystal, as listed in Alexandria via LeMat-Bulk.

## Properties
M_tot	0.00	μB per formula unit
SG	Amm2
energy above the most stable polymorph in this dataset	0.018	eV per atom
formation enthalpy at 0 K	-0.200	eV/atom
DOS at the Fermi energy	10.0	states/eV/cell

Lattice parameters (Å, degrees): 5.1306 3.5673 12.8531 90.00 90.00 90.00
Last column: nearest neighbours and their distance in Å.
Element x y z (fractional)
1 La 0.0000 0.0000 0.0000  4 Tl 3.36, 3 Sc 3.42-3.51, 2 La 3.57
2 La 0.0000 0.5000 0.5000  4 Tl 3.36, 3 Sc 3.42-3.51, 2 La 3.57
3 La 0.5000 0.0000 0.3191  4 Sc 3.34, 3 Tl 3.38-3.55, 2 La 3.57
4 La 0.5000 0.5000 0.8191  4 Sc 3.34, 3 Tl 3.38-3.55, 2 La 3.57
5 Sc 0.0000 0.0000 0.7268  2 Tl 3.07, 6 La 3.34-3.42
6 Sc 0.0000 0.5000 0.2268  2 Tl 3.07, 6 La 3.34-3.42
7 Tl 0.5000 0.0000 0.5953  2 Sc 3.07, 6 La 3.36-3.38
8 Tl 0.5000 0.5000 0.0953  2 Sc 3.07, 6 La 3.36-3.38